[1]
Ba2NaCdH: PBEsol geometry, SCAN.

- crystal system = tetragonal
- electronic total energy (eV/cell) = -115.8

```
data_Ba2NaCdH
_cell_length_a 6.494
_cell_length_b 6.494
_cell_length_c 5.532
_cell_angle_alpha 90.00
_cell_angle_beta 90.00
_cell_angle_gamma 90.00
_space_group_name_H-M_alt 'P 4/m m m'
_space_group_IT_number 123
_space_group_name_Hall '-P 4 2'
loop_
_atom_site_label
_atom_site_type_symbol
_atom_site_fract_x
_atom_site_fract_y
_atom_site_fract_z
_atom_site_occupancy
Ba1 Ba 0.000 0.500 0.000 1
Na1 Na 0.000 0.000 0.500 1
Cd1 Cd 0.000 0.000 0.000 1
H1 H 0.500 0.500 0.500 1
```

---

[2]
Tb12Ni6Pb: PBEsol geometry, SCAN.

- crystal system = cubic
- E_form (eV/atom) = -0.417

```
data_Tb12Ni6Pb
_cell_length_a 9.595
_cell_length_b 9.595
_cell_length_c 9.595
_cell_angle_alpha 90.00
_cell_angle_beta 90.00
_cell_angle_gamma 90.00
_space_group_name_H-M_alt 'I m -3'
_space_group_IT_number 204
_space_group_name_Hall '-I 2 2 3'
loop_
_atom_site_label
_atom_site_type_symbol
_atom_site_fract_x
_atom_site_fract_y
_atom_site_fract_z
_atom_site_occupancy
Tb1 Tb 0.000 0.305 0.188 1
Ni1 Ni 0.000 0.124 0.500 1
Pb1 Pb 0.000 0.000 0.000 1
```

---

[3]
Cs3ScI6: PBEsol geometry, SCAN.

- formation energy without anion corrections (kcal/mol of atoms) = -35.67
- crystal system = cubic

```
data_Cs3ScI6
_cell_length_a 12.715
_cell_length_b 12.715
_cell_length_c 12.715
_cell_angle_alpha 90.00
_cell_angle_beta 90.00
_cell_angle_gamma 90.00
_space_group_name_H-M_alt 'F m -3 m'
_space_group_IT_number 225
_space_group_name_Hall '-F 4 2 3'
loop_
_atom_site_label
_atom_site_type_symbol
_atom_site_fract_x
_atom_site_fract_y
_atom_site_fract_z
_atom_site_occupancy
Cs1 Cs 0.000 0.000 0.000 1
Cs2 Cs 0.250 0.250 0.250 1
Sc1 Sc 0.000 0.000 0.500 1
I1 I 0.000 0.000 0.276 1
```

---

[4]
Rb: PBEsol geometry, SCAN.

- crystal system = hexagonal
- E_form (eV/atom) = 0.001

```
data_Rb
_cell_length_a 4.9444
_cell_length_b 4.9444
_cell_length_c 8.0152
_cell_angle_alpha 90.00
_cell_angle_beta 90.00
_cell_angle_gamma 120.00
_space_group_name_H-M_alt 'P 63/m m c'
_space_group_IT_number 194
_space_group_name_Hall '-P 6c 2c'
loop_
_atom_site_label
_atom_site_type_symbol
_atom_site_fract_x
_atom_site_fract_y
_atom_site_fract_z
_atom_site_occupancy
Rb1 Rb 0.3333 0.6667 0.2500 1
```